Record 1
# ThSbCl

A relaxed structure of ThSbCl (PBE-GGA, Alexandria via LeMat-Bulk).

Cell: 6.145 4.636 7.556 Å, 90.00 109.94 90.00°
Atoms (fractional coordinates):
Th 0.167 0.250 0.308
Th 0.833 0.750 0.692
Sb 0.294 0.750 0.606
Sb 0.706 0.250 0.394
Cl 0.200 0.750 0.073
Cl 0.800 0.250 0.927

Calculated values
Offset from the most stable computed form, meV/atom: 0
Total moment, μB/cell: 0.00


Record 2
# TiSbCl3

A relaxed structure of TiSbCl3 (PBE-GGA, Alexandria via LeMat-Bulk).

Cell: 4.869 4.869 4.869 Å, 90.00 90.00 90.00°
Atoms (fractional coordinates):
Ti 0.000 0.000 0.000
Sb 0.500 0.500 0.500
Cl 0.000 0.000 0.500
Cl 0.000 0.500 0.000
Cl 0.500 0.000 0.000

Calculated values
Offset from the most stable computed form, meV/atom: 0
Fermi-level density of states, states/eV per atom: 1.6031
Total moment, μB/cell: 0.24


Record 3
# TiSb2Cl

A relaxed structure of TiSb2Cl (PBE-GGA, Alexandria via LeMat-Bulk).

Cell: 4.286 4.286 22.051 Å, 90.00 90.00 90.00°
Atoms (fractional coordinates):
Ti 0.000 0.000 0.000
Ti 0.000 0.500 0.250
Ti 0.500 0.000 0.750
Ti 0.500 0.500 0.500
Sb 0.219 0.250 0.125
Sb 0.250 0.719 0.375
Sb 0.250 0.781 0.875
Sb 0.281 0.250 0.625
Sb 0.719 0.750 0.625
Sb 0.750 0.219 0.875
Sb 0.750 0.281 0.375
Sb 0.781 0.750 0.125
Cl 0.000 0.000 0.500
Cl 0.000 0.500 0.750
Cl 0.500 0.000 0.250
Cl 0.500 0.500 0.000

Calculated values
Offset from the most stable computed form, meV/atom: 0
Fermi-level density of states, states/eV per atom: 0.5907
Total moment, μB/cell: 4.16


E for the records above, in order: -5.6858; -3.9946; -4.4694 eV per atom
Formation energy without anion corrections for the records above, in order: -1.223; -0.483; 0.027 eV/atom